i | {"formula": "GdCdInSe3", "functional": "PBE", "state": "relaxed", "space_group": "Cmcm (63)", "lattice": [[-2.884, 6.322, 2.904], [-5.938, 3.375, 3.173], [3.724, -2.939, 10.096]], "species": ["Cd", "Cd", "Gd", "Gd", "In", "In", "Se", "Se", "Se", "Se", "Se", "Se"], "fractional_positions": [[0.459, 0.459, 0.250], [0.541, 0.541, 0.750], [0.000, 0.000, 0.000], [0.000, 0.000, 0.500], [0.749, 0.749, 0.250], [0.251, 0.251, 0.750], [0.366, 0.366, 0.049], [0.075, 0.075, 0.250], [0.366, 0.366, 0.451], [0.634, 0.634, 0.549], [0.925, 0.925, 0.750], [0.634, 0.634, 0.951]]}

***

ii | {"formula": "GdCdInSe3", "functional": "PBE", "state": "relaxed", "space_group": "Pnma (62)", "lattice": [[4.298, 0.000, 0.000], [0.000, 12.458, 0.000], [0.000, 0.000, 12.552]], "species": ["Cd", "Cd", "Cd", "Cd", "Gd", "Gd", "Gd", "Gd", "In", "In", "In", "In", "Se", "Se", "Se", "Se", "Se", "Se", "Se", "Se", "Se", "Se", "Se", "Se"], "fractional_positions": [[0.750, 0.756, 0.192], [0.750, 0.256, 0.308], [0.250, 0.744, 0.692], [0.250, 0.244, 0.808], [0.250, 0.471, 0.169], [0.250, 0.971, 0.331], [0.750, 0.029, 0.669], [0.750, 0.529, 0.831], [0.750, 0.156, 0.012], [0.750, 0.656, 0.488], [0.250, 0.344, 0.512], [0.250, 0.844, 0.988], [0.750, 0.589, 0.063], [0.750, 0.970, 0.167], [0.250, 0.238, 0.177], [0.250, 0.738, 0.323], [0.750, 0.470, 0.333], [0.750, 0.089, 0.437], [0.250, 0.911, 0.563], [0.250, 0.530, 0.667], [0.750, 0.262, 0.677], [0.750, 0.762, 0.823], [0.250, 0.030, 0.833], [0.250, 0.411, 0.937]]}

***

Most stable: i. Least stable: ii.

***

i | {"formula": "LiGdCdTe3", "functional": "PBE", "state": "relaxed", "space_group": "Pnma (62)", "lattice": [[-6.890, 9.443, 5.224], [-0.371, -2.302, 3.672], [11.265, 5.635, 4.672]], "species": ["Cd", "Cd", "Cd", "Cd", "Gd", "Gd", "Gd", "Gd", "Li", "Li", "Li", "Li", "Te", "Te", "Te", "Te", "Te", "Te", "Te", "Te", "Te", "Te", "Te", "Te"], "fractional_positions": [[0.283, 0.000, 0.234], [0.783, 0.500, 0.266], [0.217, 0.000, 0.734], [0.717, 0.500, 0.766], [0.675, 0.000, 0.054], [0.175, 0.500, 0.446], [0.825, 0.000, 0.554], [0.325, 0.500, 0.946], [0.009, 0.000, 0.114], [0.509, 0.500, 0.386], [0.491, 0.000, 0.614], [0.991, 0.500, 0.886], [0.857, 0.500, 0.064], [0.424, 0.000, 0.079], [0.138, 0.500, 0.220], [0.638, 0.000, 0.280], [0.924, 0.500, 0.421], [0.357, 0.000, 0.436], [0.643, 0.500, 0.564], [0.076, 0.000, 0.579], [0.362, 0.500, 0.720], [0.862, 0.000, 0.780], [0.576, 0.500, 0.921], [0.143, 0.000, 0.936]]}

***

ii | {"formula": "LiGdCdTe3", "functional": "PBE", "state": "relaxed", "space_group": "P2_1/m (11)", "lattice": [[-0.474, -1.416, 8.247], [-0.406, -4.326, -0.766], [10.645, -0.610, -2.189]], "species": ["Cd", "Cd", "Gd", "Gd", "Li", "Li", "Te", "Te", "Te", "Te", "Te", "Te"], "fractional_positions": [[0.421, 0.750, 0.398], [0.579, 0.250, 0.602], [0.177, 0.250, 0.148], [0.823, 0.750, 0.852], [0.688, 0.250, 0.129], [0.312, 0.750, 0.871], [0.443, 0.750, 0.143], [0.919, 0.750, 0.148], [0.232, 0.250, 0.451], [0.768, 0.750, 0.549], [0.081, 0.250, 0.852], [0.557, 0.250, 0.857]]}

***

Most stable: ii. Least stable: i.

***

i | {"formula": "GdLu2Cd", "functional": "PBE", "state": "relaxed", "space_group": "Amm2 (38)", "lattice": [[5.420, 0.000, 0.000], [0.000, 3.542, 5.774], [0.000, -3.542, 5.774]], "species": ["Cd", "Cd", "Gd", "Gd", "Lu", "Lu", "Lu", "Lu"], "fractional_positions": [[0.000, 0.844, 0.325], [0.000, 0.325, 0.844], [0.000, 0.341, 0.341], [0.500, 0.659, 0.659], [0.500, 0.161, 0.161], [0.500, 0.662, 0.163], [0.500, 0.163, 0.662], [0.000, 0.845, 0.845]]}

***

ii | {"formula": "GdLu2Cd", "functional": "PBE", "state": "relaxed", "space_group": "Cmcm (63)", "lattice": [[3.406, -5.944, 0.000], [3.406, 5.944, 0.000], [0.000, 0.000, 5.407]], "species": ["Cd", "Cd", "Gd", "Gd", "Lu", "Lu", "Lu", "Lu"], "fractional_positions": [[0.336, 0.664, 0.250], [0.664, 0.336, 0.750], [0.826, 0.174, 0.250], [0.174, 0.826, 0.750], [0.337, 0.172, 0.250], [0.828, 0.663, 0.250], [0.172, 0.337, 0.750], [0.663, 0.828, 0.750]]}

***

Most stable: ii. Least stable: i.

***

i | {"formula": "Gd3Mg3Cd2", "functional": "PBE", "state": "relaxed", "space_group": "P-6m2 (187)", "lattice": [[-2.391, -2.349, 5.893], [6.689, 0.500, -0.987], [-0.083, 4.887, 1.915]], "species": ["Cd", "Cd", "Gd", "Gd", "Gd", "Mg", "Mg", "Mg"], "fractional_positions": [[0.000, 0.000, 0.000], [0.333, 0.667, 0.500], [0.325, 0.162, 0.500], [0.838, 0.162, 0.500], [0.838, 0.675, 0.500], [0.017, 0.509, 0.000], [0.491, 0.509, 0.000], [0.491, 0.983, 0.000]]}

***

ii | {"formula": "Gd3Mg3Cd2", "functional": "PBE", "state": "relaxed", "space_group": "Amm2 (38)", "lattice": [[-3.409, 0.930, -3.972], [-4.569, 1.963, 4.380], [-0.129, 6.426, 1.615]], "species": ["Cd", "Cd", "Gd", "Gd", "Gd", "Mg", "Mg", "Mg"], "fractional_positions": [[0.000, 0.335, 0.335], [0.500, 0.668, 0.668], [0.500, 0.655, 0.176], [0.500, 0.176, 0.655], [0.000, 0.831, 0.831], [0.500, 0.162, 0.162], [0.000, 0.841, 0.333], [0.000, 0.333, 0.841]]}

***

Most stable: ii. Least stable: i.